# 1
# CuBPb

Crystalline CuBPb at its relaxed geometry (PBE-GGA, the Alexandria database).

a = 3.2443 Å, b = 3.9096 Å, c = 8.7652 Å
α = 84.66°, β = 100.81°, γ = 90.07°
Closest atoms and distances in Å follow each position.
Positions (direct):
Pb1 0.1948 0.8933 0.1712  2 B 2.80-2.81
Pb2 0.8399 0.3315 0.4766  4 Cu 2.91-2.96, 2 Pb 3.24
B1 0.7797 0.9864 0.8589  2 B 1.61-1.63
B2 0.2764 0.9867 0.8581  2 B 1.61-1.63
Cu1 0.0278 0.4840 0.8574  4 B 2.10-2.13
Cu2 0.4238 0.7881 0.6475  2 B 2.20

formation enthalpy at 0 K: 286 meV per atom
space group: P1, No. 1


# 2
# CuBPb

Crystalline CuBPb at its relaxed geometry (PBE-GGA, the Alexandria database).

a = 3.0248 Å, b = 3.0248 Å, c = 10.6158 Å
α = 90.00°, β = 90.00°, γ = 90.00°
Closest atoms and distances in Å follow each position.
Positions (direct):
Pb1 0.0000 0.5000 0.7676  4 B 2.89, 4 Pb 3.02, 4 Cu 3.07
Pb2 0.5000 0.0000 0.2324  4 B 2.89, 4 Pb 3.02, 4 Cu 3.07
B1 0.0000 0.0000 0.0000  4 B 2.14
B2 0.5000 0.5000 0.0000  4 B 2.14
Cu1 0.0000 0.5000 0.4395  4 Cu 2.50
Cu2 0.5000 0.0000 0.5605  4 Cu 2.50

formation enthalpy at 0 K: 891 meV per atom
space group: P4/nmm, No. 129


# 3
# CuB3Pb

Crystalline CuB3Pb at its relaxed geometry (PBE-GGA, the Alexandria database).

a = 4.6442 Å, b = 4.6442 Å, c = 4.6442 Å
α = 90.00°, β = 90.00°, γ = 90.00°
Closest atoms and distances in Å follow each position.
Positions (direct):
Pb1 0.0000 0.0000 0.0000  6 B 2.32
B1 0.0000 0.5000 0.0000  2 Pb 2.32
B2 0.0000 0.0000 0.5000  2 Pb 2.32
B3 0.5000 0.0000 0.0000  2 Pb 2.32
Cu1 0.5000 0.5000 0.5000  12 B 3.28

formation enthalpy at 0 K: 2717 meV per atom
space group: Pm-3m, No. 221


# 4
# CuBPb

Crystalline CuBPb at its relaxed geometry (PBE-GGA, the Alexandria database).

a = 5.2686 Å, b = 5.8995 Å, c = 6.7713 Å
α = 98.52°, β = 62.47°, γ = 138.81°
Closest atoms and distances in Å follow each position.
Positions (direct):
Pb1 0.2470 0.9613 0.1942  2 B 2.62
Pb2 0.8911 0.2888 0.5733  2 B 2.62, 2 Cu 2.93
B1 0.8546 0.0330 0.8836  1 B 1.61
B2 0.2834 0.2170 0.8840  1 B 1.61
Cu1 0.2801 0.5706 0.8831  3 B 2.05-2.10
Cu2 0.8588 0.6799 0.8837  3 B 2.05-2.10

formation enthalpy at 0 K: 382 meV per atom
space group: P-1, No. 2


# 5
# CuBPb

Crystalline CuBPb at its relaxed geometry (PBE-GGA, the Alexandria database).

a = 3.9876 Å, b = 3.9867 Å, c = 8.8453 Å
α = 93.38°, β = 121.16°, γ = 76.85°
Closest atoms and distances in Å follow each position.
Positions (direct):
Pb1 0.4179 0.3990 0.6934  1 B 2.63
Pb2 0.5996 0.9439 0.4184  1 B 2.63
B1 0.8270 0.3395 0.0413  1 B 1.65
B2 0.1902 0.0059 0.0703  1 B 1.65
Cu1 0.3142 0.4790 0.0551  4 B 2.06-2.08
Cu2 0.7036 0.8664 0.0571  4 B 2.06-2.08

formation enthalpy at 0 K: 333 meV per atom
space group: P1, No. 1


# 6
# CuBPb

Crystalline CuBPb at its relaxed geometry (PBE-GGA, the Alexandria database).

a = 3.9250 Å, b = 3.1299 Å, c = 9.6863 Å
α = 98.15°, β = 90.22°, γ = 66.17°
Closest atoms and distances in Å follow each position.
Positions (direct):
Pb1 0.1577 0.8735 0.7104  1 B 2.63
Pb2 0.6461 0.9243 0.4020  3 Cu 2.82-2.87, 2 Pb 3.13
B1 0.2858 0.4253 0.0084  2 B 1.65
B2 0.1609 0.9783 0.9850  2 B 1.65
Cu1 0.0923 0.1092 0.2053  1 B 2.11
Cu2 0.7165 0.7163 0.0245  6 B 2.04-2.26

formation enthalpy at 0 K: 286 meV per atom
space group: P1, No. 1